# 1
DFT (PBEsol) results for Cd2CuSi after structural relaxation.

For the magnetic moment, the calculation gives 0.0 μB per cell. Its formation energy from raw total energies is 0.269 eV per atom. Its density of states at the Fermi level is 1.250 states/eV/cell. The calculated total energy is -0.2094 Ry per atom.

The space group is P4/mmm (No. 123) and the conventional cell measures 4.092, 4.092 and 4.030 Å, with angles of 90.00, 90.00 and 90.00 degrees. The distinct sites, in fractional coordinates, are Cd at (0.000, 0.500, 0.000), Cu at (0.000, 0.000, 0.500) and Si at (0.500, 0.500, 0.500).

# 2
DFT (PBEsol) results for CdCuSi after structural relaxation.

For the magnetic moment, the calculation gives 0.0 μB per cell. Its formation energy from raw total energies is 0.160 eV per atom. Its density of states at the Fermi level is 3.621 states/eV/cell. For the energy above the lowest structure with this stoichiometry, the calculation gives 0 meV per atom. The calculated total energy is -0.2646 Ry per atom.

The space group is F-43m (No. 216) and the conventional cell measures 5.872, 5.872 and 5.872 Å, with angles of 90.00, 90.00 and 90.00 degrees. The distinct sites, in fractional coordinates, are Cd at (0.000, 0.000, 0.000), Cu at (0.250, 0.250, 0.750) and Si at (0.000, 0.000, 0.500).

# 3
DFT (PBEsol) results for CdCuSi2 after structural relaxation.

For the magnetic moment, the calculation gives 0.0 μB per cell. Its formation energy from raw total energies is 0.407 eV per atom. Its density of states at the Fermi level is 2.841 states/eV/cell. The calculated total energy is -0.2829 Ry per atom.

The space group is Cmmm (No. 65) and the conventional cell measures 5.232, 7.551 and 3.250 Å, with angles of 90.00, 90.00 and 90.00 degrees. The distinct sites, in fractional coordinates, are Cd at (0.000, 0.000, 0.000), Cu at (0.000, 0.500, 0.000) and Si at (0.250, 0.250, 0.500).

# 4
DFT (PBEsol) results for CdCu2Si after structural relaxation.

For the magnetic moment, the calculation gives 0.0 μB per cell. Its formation energy from raw total energies is 0.172 eV per atom. Its density of states at the Fermi level is 2.643 states/eV/cell. The calculated total energy is -0.2742 Ry per atom.

The space group is I-4m2 (No. 119) and the conventional cell measures 3.766, 3.766 and 7.955 Å, with angles of 90.00, 90.00 and 90.00 degrees. The distinct sites, in fractional coordinates, are Cd at (0.000, 0.000, 0.000), Cu at (0.000, 0.000, 0.500), Cu at (0.000, 0.500, 0.250) and Si at (0.000, 0.500, 0.750).

# 5
DFT (PBEsol) results for CdCuSi after structural relaxation.

For the magnetic moment, the calculation gives 0.0 μB per cell. Its formation energy from raw total energies is 0.218 eV per atom. Its density of states at the Fermi level is 2.426 states/eV/cell. For the energy above the lowest structure with this stoichiometry, the calculation gives 59 meV per atom. The calculated total energy is -0.2603 Ry per atom.

The space group is Imm2 (No. 44) and the conventional cell measures 2.685, 3.469 and 10.361 Å, with angles of 90.00, 90.00 and 90.00 degrees. The distinct sites, in fractional coordinates, are Cd at (0.000, 0.000, 0.000), Cu at (0.000, 0.000, 0.682) and Si at (0.000, 0.000, 0.294).

# 6
DFT (PBEsol) results for Cd2CuSi after structural relaxation.

For the magnetic moment, the calculation gives 0.0 μB per cell. Its formation energy from raw total energies is 0.375 eV per atom. Its density of states at the Fermi level is 7.912 states/eV/cell. The calculated total energy is -0.2017 Ry per atom.

The space group is F-43m (No. 216) and the conventional cell measures 6.528, 6.528 and 6.528 Å, with angles of 90.00, 90.00 and 90.00 degrees. The distinct sites, in fractional coordinates, are Cd at (0.000, 0.000, 0.000), Cd at (0.250, 0.250, 0.250), Cu at (0.250, 0.250, 0.750) and Si at (0.000, 0.000, 0.500).

# 7
DFT (PBEsol) results for CdCuSi2 after structural relaxation.

For the magnetic moment, the calculation gives 0.0 μB per cell. Its formation energy from raw total energies is 0.366 eV per atom. Its density of states at the Fermi level is 3.016 states/eV/cell. The calculated total energy is -0.2859 Ry per atom.

The space group is Imm2 (No. 44) and the conventional cell measures 3.637, 4.577 and 7.602 Å, with angles of 90.00, 90.00 and 90.00 degrees. The distinct sites, in fractional coordinates, are Cd at (0.000, 0.000, 0.000), Cu at (0.000, 0.500, 0.773), Si at (0.000, 0.000, 0.497) and Si at (0.000, 0.500, 0.224).

# 8
DFT (PBEsol) results for CdCuSi2 after structural relaxation.

For the magnetic moment, the calculation gives 0.0 μB per cell. Its formation energy from raw total energies is 0.218 eV per atom. Its density of states at the Fermi level is 1.423 states/eV/cell. The calculated total energy is -0.2968 Ry per atom.

The space group is Pm (No. 6) and the conventional cell measures 2.632, 3.343 and 7.275 Å, with angles of 90.00, 99.96 and 90.00 degrees. The distinct sites, in fractional coordinates, are Cd at (0.000, 0.000, 0.000), Cu at (0.627, 0.500, 0.267), Si at (0.217, 0.000, 0.450) and Si at (0.353, 0.500, 0.706).